First-principles (PBE) data for a geometry-optimized KGaSb structure, as listed in the Alexandria database.

Unit cell a=13.384 b=4.441 c=7.164 alpha=90.00 beta=101.77 gamma=90.00
Space group Cm (No. 8)
Asymmetric unit:
K: 0.000 0.000 0.000 x2
K: 0.130 0.500 0.543 x2
Ga: 0.272 0.000 0.927 x2
Ga: 0.413 0.500 0.434 x2
Sb: 0.232 0.500 0.111 x2
Sb: 0.355 0.000 0.630 x2

## Properties
For the energy above the most stable polymorph in this dataset, the calculation gives 0.069 eV per atom. The value obtained for the uncorrected energy is -3.0283 eV/atom. The crystal system is monoclinic. The calculated volume is 34.74 A^3/atom. The value obtained for the raw formation energy is -81 kJ/mol of formula units. The density of states at the Fermi level is 0.0 states/eV/f.u.